A relaxed structure of TlIn2Mo, computed with GGA-PBE.

As for the crystal system: monoclinic. The formation enthalpy at 0 K is 1.9 eV/f.u. For the calculated total energy, the calculation gives -4.1832 eV/atom. For the calculated volume, the calculation gives 21.9 Å³/atom. The excess energy over the best structure of this formula in the dataset is 126.0 meV/atom.

It has space group C2/m (No. 12), with a = 11.0137 Å, b = 3.0563 Å, c = 5.2711 Å, α = 90.00°, β = 99.32° and γ = 90.00°. The inequivalent atoms are Tl at (0.0000, 0.0000, 0.0000), In at (0.2275, 0.0000, 0.7308) and Mo at (0.0000, 0.5000, 0.5000).


A relaxed structure of TlIn2Mo, computed with GGA-PBE.

As for the crystal system: tetragonal. The formation enthalpy at 0 K is 2.0 eV/f.u. For the calculated total energy, the calculation gives -4.1691 eV/atom. For the calculated volume, the calculation gives 21.2 Å³/atom. The excess energy over the best structure of this formula in the dataset is 140.0 meV/atom.

It has space group I-4m2 (No. 119), with a = 4.2541 Å, b = 4.2541 Å, c = 9.3871 Å, α = 90.00°, β = 90.00° and γ = 90.00°. The inequivalent atoms are Tl at (0.0000, 0.0000, 0.0000), In at (0.0000, 0.0000, 0.5000), In at (0.0000, 0.5000, 0.2500) and Mo at (0.0000, 0.5000, 0.7500).